No. 1
An optimized crystal structure of NaAgIrCl6. Source: Alexandria via LeMat-Bulk, functional PBE.

Unit cell a=6.656 b=6.656 c=11.278 alpha=90.00 beta=90.00 gamma=120.00
Element x y z (fractional)
Na 0.333 0.667 0.250
Na 0.667 0.333 0.750
Ag 0.000 0.000 0.000
Ag 0.000 0.000 0.500
Ir 0.333 0.667 0.750
Ir 0.667 0.333 0.250
Cl 0.046 0.379 0.628
Cl 0.046 0.667 0.872
Cl 0.333 0.379 0.872
Cl 0.333 0.954 0.628
Cl 0.379 0.046 0.128
Cl 0.379 0.333 0.372
Cl 0.621 0.667 0.628
Cl 0.621 0.954 0.872
Cl 0.667 0.046 0.372
Cl 0.667 0.621 0.128
Cl 0.954 0.333 0.128
Cl 0.954 0.621 0.372

Computed properties:
SG	P-31c (163)
E_form (uncorrected)	-719	meV per atom



No. 2
An optimized crystal structure of ZrCo2B. Source: Alexandria via LeMat-Bulk, functional PBE.

Unit cell a=7.348 b=7.348 c=7.348 alpha=147.91 beta=147.91 gamma=46.02
Element x y z (fractional)
Zr 0.000 0.000 0.000
Zr 0.750 0.250 0.500
Co 0.286 0.625 0.161
Co 0.375 0.536 0.661
Co 0.464 0.125 0.839
Co 0.875 0.714 0.339
B 0.250 0.750 0.500
B 0.500 0.500 0.000

Computed properties:
SG	I-42d (122)
E	-7.269	eV/atom



Number 1: DOS(E_F) 17.141 states/eV/cell. Number 2: DOS(E_F) 9.261 states/eV/cell.